1.
ScAlZn2: optimized geometry, PBE-GGA.

Calculated values
Formation energy, eV/atom: -0.186
Magnetic moment, μB per cell: 0.000
Calculated density, g/cm3: 4.83
Density of states at the Fermi level, states/eV/atom: 0.640

The structure in CIF format:
```
data_ScAlZn2
_chemical_formula_sum 'Sc2 Al2 Zn4'
_space_group_name_H-M_alt 'I -4 m 2'
_space_group_IT_number 119
_space_group_name_Hall 'I -4 -2'
_cell_length_a 4.137
_cell_length_b 4.137
_cell_length_c 8.139
_cell_angle_alpha 90.00
_cell_angle_beta 90.00
_cell_angle_gamma 90.00
loop_
_atom_site_label
_atom_site_fract_x
_atom_site_fract_y
_atom_site_fract_z
Sc1 0.000 0.000 0.000
Al1 0.000 0.500 0.750
Zn1 0.000 0.000 0.500
Zn2 0.000 0.500 0.250
```

2.
MnRu3W: optimized geometry, PBE-GGA.

Calculated values
Energy above the lowest structure with this stoichiometry, meV/atom: 589.2
Formation energy, eV/atom: 2.056
Magnetic moment, μB per cell: 1.018
Calculated density, g/cm3: 9.06
Density of states at the Fermi level, states/eV/atom: 2.986

The structure in CIF format:
```
data_MnRu3W
_chemical_formula_sum 'Mn1 Ru3 W1'
_space_group_name_H-M_alt 'P m -3 m'
_space_group_IT_number 221
_space_group_name_Hall '-P 4 2 3'
_cell_length_a 4.631
_cell_length_b 4.631
_cell_length_c 4.631
_cell_angle_alpha 90.00
_cell_angle_beta 90.00
_cell_angle_gamma 90.00
loop_
_atom_site_label
_atom_site_fract_x
_atom_site_fract_y
_atom_site_fract_z
Mn1 0.000 0.000 0.000
Ru1 0.000 0.500 0.500
W1 0.500 0.500 0.500
```

3.
Ho2AlFe2Co5: optimized geometry, PBE-GGA.

Calculated values
Formation energy, eV/atom: -0.081
Magnetic moment, μB per cell: 20.308
Calculated density, g/cm3: 8.66
Density of states at the Fermi level, states/eV/atom: 0.916

The structure in CIF format:
```
data_Ho2AlFe2Co5
_chemical_formula_sum 'Ho4 Al2 Fe4 Co10'
_space_group_name_H-M_alt 'P 4/m b m'
_space_group_IT_number 127
_space_group_name_Hall '-P 4 2ab'
_cell_length_a 9.324
_cell_length_b 9.324
_cell_length_c 3.365
_cell_angle_alpha 90.00
_cell_angle_beta 90.00
_cell_angle_gamma 90.00
loop_
_atom_site_label
_atom_site_fract_x
_atom_site_fract_y
_atom_site_fract_z
Ho1 0.178 0.322 0.000
Al1 0.000 0.000 0.000
Fe1 0.121 0.621 0.000
Co1 0.000 0.500 0.500
Co2 0.060 0.794 0.500
```

4.
Y2CoPtN: optimized geometry, PBE-GGA.

Calculated values
E_form (uncorrected), eV per atom: -1.048
Magnetic moment, μB per cell: 0.000
Calculated density, g/cm3: 8.58
Density of states at the Fermi level, states/eV/atom: 0.454

The structure in CIF format:
```
data_Y2CoPtN
_chemical_formula_sum 'Y2 Co1 Pt1 N1'
_space_group_name_H-M_alt 'P 4/m m m'
_space_group_IT_number 123
_space_group_name_Hall '-P 4 2'
_cell_length_a 4.905
_cell_length_b 4.905
_cell_length_c 3.587
_cell_angle_alpha 90.00
_cell_angle_beta 90.00
_cell_angle_gamma 90.00
loop_
_atom_site_label
_atom_site_fract_x
_atom_site_fract_y
_atom_site_fract_z
Y1 0.000 0.500 0.000
Co1 0.000 0.000 0.500
Pt1 0.500 0.500 0.500
N1 0.000 0.000 0.000
```

5.
TbCuS: optimized geometry, PBE-GGA.

Calculated values
E_form (uncorrected), eV per atom: -1.094
Magnetic moment, μB per cell: 0.000
Calculated density, g/cm3: 6.60
Density of states at the Fermi level, states/eV/atom: 0.332

The structure in CIF format:
```
data_TbCuS
_chemical_formula_sum 'Tb6 Cu6 S6'
_space_group_name_H-M_alt 'R -3 m'
_space_group_IT_number 166
_space_group_name_Hall '-R 3 2"'
_cell_length_a 4.4268
_cell_length_b 4.4268
_cell_length_c 22.6253
_cell_angle_alpha 90.00
_cell_angle_beta 90.00
_cell_angle_gamma 120.00
loop_
_atom_site_label
_atom_site_fract_x
_atom_site_fract_y
_atom_site_fract_z
Tb1 0.0000 0.0000 0.0844
Cu1 0.0000 0.0000 0.3275
S1 0.0000 0.0000 0.2140
```

6.
CaYTl2: optimized geometry, PBE-GGA.

Calculated values
Formation energy, eV/atom: -0.121
Magnetic moment, μB per cell: 0.817
Calculated density, g/cm3: 7.22
Density of states at the Fermi level, states/eV/atom: 0.992

The structure in CIF format:
```
data_CaYTl2
_chemical_formula_sum 'Ca2 Y2 Tl4'
_space_group_name_H-M_alt 'C m m 2'
_space_group_IT_number 35
_cell_length_a 5.276
_cell_length_b 5.297
_cell_length_c 8.853
_cell_angle_alpha 90.00
_cell_angle_beta 90.00
_cell_angle_gamma 90.00
loop_
_space_group_symop_operation_xyz
'x,y,z'
'-x,-y,z'
'-x,y,z'
'x,-y,z'
'x+1/2,y+1/2,z'
'-x+1/2,-y+1/2,z'
'-x+1/2,y+1/2,z'
'x+1/2,-y+1/2,z'
loop_
_atom_site_label
_atom_site_fract_x
_atom_site_fract_y
_atom_site_fract_z
Ca1 0.000 0.000 0.000
Y1 0.000 0.500 0.308
Tl1 0.000 0.000 0.535
Tl2 0.000 0.500 0.755
```

7.
CeDy3Ho3Se8: optimized geometry, PBE-GGA.

Calculated values
E_form (uncorrected), eV per atom: -1.799
Magnetic moment, μB per cell: 4.237
Calculated density, g/cm3: 7.68
Density of states at the Fermi level, states/eV/atom: 0.871

The structure in CIF format:
```
data_CeDy3Ho3Se8
_chemical_formula_sum 'Ce3 Dy9 Ho9 Se24'
_space_group_name_H-M_alt 'R -3 m'
_space_group_IT_number 166
_space_group_name_Hall '-R 3 2"'
_cell_length_a 8.1303
_cell_length_b 8.1303
_cell_length_c 19.8847
_cell_angle_alpha 90.00
_cell_angle_beta 90.00
_cell_angle_gamma 120.00
loop_
_atom_site_label
_atom_site_fract_x
_atom_site_fract_y
_atom_site_fract_z
Ce1 0.0000 0.0000 0.0000
Dy1 0.0000 0.5000 0.5000
Ho1 0.0000 0.5000 0.0000
Se1 0.0000 0.0000 0.2506
Se2 0.0139 0.5069 0.2472
```

8.
CdGeAu2O6: optimized geometry, PBE-GGA.

Calculated values
E_form (uncorrected), eV per atom: -0.677
Magnetic moment, μB per cell: 0.000
Calculated density, g/cm3: 8.03

The structure in CIF format:
```
data_CdGeAu2O6
_chemical_formula_sum 'Cd4 Ge4 Au8 O24'
_space_group_name_H-M_alt 'C 1 2/c 1'
_space_group_IT_number 15
_cell_length_a 10.755
_cell_length_b 7.668
_cell_length_c 7.001
_cell_angle_alpha 90.00
_cell_angle_beta 104.84
_cell_angle_gamma 90.00
loop_
_space_group_symop_operation_xyz
'x,y,z'
'-x,-y,-z'
'-x,y,-z+1/2'
'x,-y,z+1/2'
'x+1/2,y+1/2,z'
'-x+1/2,-y+1/2,-z'
'-x+1/2,y+1/2,-z+1/2'
'x+1/2,-y+1/2,z+1/2'
loop_
_atom_site_label
_atom_site_fract_x
_atom_site_fract_y
_atom_site_fract_z
Cd1 0.000 0.217 0.250
Ge1 0.000 0.204 0.750
Au1 0.206 0.478 0.591
O1 0.040 0.338 0.567
O2 0.111 0.055 0.900
O3 0.196 0.368 0.324
```

9.
Nb2AgCCl: optimized geometry, PBE-GGA.

Calculated values
E_form (uncorrected), eV per atom: 2.827
Magnetic moment, μB per cell: 2.930
Calculated density, g/cm3: 4.61
Density of states at the Fermi level, states/eV/atom: 1.682

The structure in CIF format:
```
data_Nb2AgCCl
_chemical_formula_sum 'Nb2 Ag1 C1 Cl1'
_space_group_name_H-M_alt 'P 4/m m m'
_space_group_IT_number 123
_space_group_name_Hall '-P 4 2'
_cell_length_a 5.168
_cell_length_b 5.168
_cell_length_c 4.596
_cell_angle_alpha 90.00
_cell_angle_beta 90.00
_cell_angle_gamma 90.00
loop_
_atom_site_label
_atom_site_fract_x
_atom_site_fract_y
_atom_site_fract_z
Nb1 0.000 0.500 0.000
Ag1 0.000 0.000 0.000
C1 0.500 0.500 0.500
Cl1 0.000 0.000 0.500
```

10.
RbYGe2: optimized geometry, PBE-GGA.

Calculated values
Energy above the lowest structure with this stoichiometry, meV/atom: 0.0
Formation energy, eV/atom: 0.074
Magnetic moment, μB per cell: 0.000
Calculated density, g/cm3: 4.90
Density of states at the Fermi level, states/eV/atom: 0.619

The structure in CIF format:
```
data_RbYGe2
_chemical_formula_sum 'Rb4 Y4 Ge8'
_space_group_name_H-M_alt 'F m -3 m'
_space_group_IT_number 225
_space_group_name_Hall '-F 4 2 3'
_cell_length_a 7.567
_cell_length_b 7.567
_cell_length_c 7.567
_cell_angle_alpha 90.00
_cell_angle_beta 90.00
_cell_angle_gamma 90.00
loop_
_atom_site_label
_atom_site_fract_x
_atom_site_fract_y
_atom_site_fract_z
Rb1 0.000 0.000 0.000
Y1 0.000 0.000 0.500
Ge1 0.250 0.250 0.250
```

11.
B5C7: optimized geometry, PBE-GGA.

Calculated values
Energy above the lowest structure with this stoichiometry, meV/atom: 65.9
Formation energy, eV/atom: 0.324
Magnetic moment, μB per cell: 0.000
Calculated density, g/cm3: 2.94
Density of states at the Fermi level, states/eV/atom: 0.196

The structure in CIF format:
```
data_B5C7
_chemical_formula_sum 'B5 C7'
_space_group_name_H-M_alt 'P -4 m 2'
_space_group_IT_number 115
_cell_length_a 2.488
_cell_length_b 2.488
_cell_length_c 12.589
_cell_angle_alpha 90.00
_cell_angle_beta 90.00
_cell_angle_gamma 90.00
loop_
_space_group_symop_operation_xyz
'x,y,z'
'y,-x,-z'
'-x,-y,z'
'-y,x,-z'
'-x,y,z'
'-y,-x,-z'
'x,-y,z'
'y,x,-z'
loop_
_atom_site_label
_atom_site_fract_x
_atom_site_fract_y
_atom_site_fract_z
B1 0.000 0.000 0.000
B2 0.000 0.000 0.346
B3 0.000 0.500 0.106
C1 0.000 0.500 0.429
C2 0.000 0.500 0.743
C3 0.500 0.500 0.191
C4 0.500 0.500 0.500
```

12.
LiSi2P: optimized geometry, PBE-GGA.

Calculated values
E_form (uncorrected), eV per atom: 0.181
Magnetic moment, μB per cell: 0.000
Calculated density, g/cm3: 2.73
Density of states at the Fermi level, states/eV/atom: 0.203

The structure in CIF format:
```
data_LiSi2P
_chemical_formula_sum 'Li2 Si4 P2'
_space_group_name_H-M_alt 'C m m m'
_space_group_IT_number 65
_space_group_name_Hall '-C 2 2'
_cell_length_a 5.160
_cell_length_b 8.372
_cell_length_c 2.653
_cell_angle_alpha 90.00
_cell_angle_beta 90.00
_cell_angle_gamma 90.00
loop_
_atom_site_label
_atom_site_fract_x
_atom_site_fract_y
_atom_site_fract_z
Li1 0.000 0.000 0.000
Si1 0.250 0.250 0.500
P1 0.000 0.500 0.000
```